! NdHoRu (GGA-PBE, optimized geometry); values from VASP
! DFT total energy = -6.46 eV/atom
! relative energy among the computed polymorphs = 0.0173 eV per atom
! formation energy = -252.4 meV/atom
! SG = I4mm, No. 107
! total moment = 0.00 μB/f.u.
&SYSTEM
  ibrav = 0, nat = 3, ntyp = 3
/
ATOMIC_SPECIES
Ru 101.07 Ru.upf
Nd 144.24 Nd.upf
Ho 164.93 Ho.upf
CELL_PARAMETERS angstrom
3.443 0.000 0.000
0.000 3.443 0.000
-1.721 -1.721 6.642
ATOMIC_POSITIONS angstrom
Ru 1.721 1.721 2.280
Nd 0.000 0.000 0.504
Ho 0.000 0.000 3.858